The following is a DFT calculation (PBE-GGA) of SmCdNO after structural relaxation.

Calculated values
As for the space group: P4/nmm, No. 129. The total energy comes out at -5.94 eV/atom. The calculation puts the relative energy among the computed polymorphs at 134 meV per atom.

a = 3.903 Å, b = 3.903 Å, c = 8.175 Å
α = 90.00°, β = 90.00°, γ = 90.00°
Fractional positions:
Sm: 0.250 0.250 0.144
Sm: 0.750 0.750 0.856
Cd: 0.250 0.750 0.500
Cd: 0.750 0.250 0.500
N: 0.250 0.250 0.673
N: 0.750 0.750 0.327
O: 0.250 0.750 0.000
O: 0.750 0.250 0.000

---

The following is a DFT calculation (PBE-GGA) of CdSnNO after structural relaxation.

Calculated values
As for the space group: Pmc2_1, No. 26. The total energy comes out at -4.89 eV/atom. The calculation puts the relative energy among the computed polymorphs at 0 meV per atom.

a = 3.882 Å, b = 6.016 Å, c = 5.642 Å
α = 90.00°, β = 90.00°, γ = 90.00°
Fractional positions:
Cd: 0.000 0.186 0.000
Cd: 0.000 0.814 0.500
Sn: 0.500 0.321 0.506
Sn: 0.500 0.679 0.006
N: 0.500 0.347 0.881
N: 0.500 0.653 0.381
O: 0.000 0.190 0.416
O: 0.000 0.810 0.916

---

The following is a DFT calculation (PBE-GGA) of CdSnNO after structural relaxation.

Calculated values
As for the space group: Pca2_1, No. 29. The total energy comes out at -4.87 eV/atom. The calculation puts the relative energy among the computed polymorphs at 23 meV per atom.

a = 6.252 Å, b = 7.275 Å, c = 5.815 Å
α = 90.00°, β = 90.00°, γ = 90.00°
Fractional positions:
Cd: 0.070 0.126 0.000
Cd: 0.430 0.126 0.500
Cd: 0.570 0.874 0.000
Cd: 0.930 0.874 0.500
Sn: 0.091 0.628 0.996
Sn: 0.409 0.628 0.496
Sn: 0.591 0.372 0.996
Sn: 0.909 0.372 0.496
N: 0.087 0.603 0.626
N: 0.413 0.603 0.126
N: 0.587 0.397 0.626
N: 0.913 0.397 0.126
O: 0.081 0.144 0.605
O: 0.419 0.144 0.105
O: 0.581 0.856 0.605
O: 0.919 0.856 0.105

---

The following is a DFT calculation (PBE-GGA) of CdSnNO after structural relaxation.

Calculated values
As for the space group: Pmc2_1, No. 26. The total energy comes out at -4.87 eV/atom. The calculation puts the relative energy among the computed polymorphs at 27 meV per atom.

a = 3.553 Å, b = 6.289 Å, c = 6.017 Å
α = 90.00°, β = 90.00°, γ = 90.00°
Fractional positions:
Cd: 0.000 0.156 0.000
Cd: 0.000 0.844 0.500
Sn: 0.500 0.333 0.486
Sn: 0.500 0.667 0.986
N: 0.000 0.183 0.376
N: 0.000 0.817 0.876
O: 0.500 0.353 0.846
O: 0.500 0.647 0.346

---

The following is a DFT calculation (PBE-GGA) of CdSnNO after structural relaxation.

Calculated values
As for the space group: P4/nmm, No. 129. The total energy comes out at -4.43 eV/atom. The calculation puts the relative energy among the computed polymorphs at 460 meV per atom.

a = 3.914 Å, b = 3.914 Å, c = 8.190 Å
α = 90.00°, β = 90.00°, γ = 90.00°
Fractional positions:
Cd: 0.250 0.750 0.000
Cd: 0.750 0.250 0.000
Sn: 0.250 0.250 0.362
Sn: 0.750 0.750 0.638
N: 0.250 0.250 0.846
N: 0.750 0.750 0.154
O: 0.250 0.750 0.500
O: 0.750 0.250 0.500

---

The following is a DFT calculation (PBE-GGA) of CdSnNO after structural relaxation.

Calculated values
As for the space group: P4/nmm, No. 129. The total energy comes out at -4.77 eV/atom. The calculation puts the relative energy among the computed polymorphs at 122 meV per atom.

a = 4.775 Å, b = 4.775 Å, c = 4.833 Å
α = 90.00°, β = 90.00°, γ = 90.00°
Fractional positions:
Cd: 0.250 0.250 0.002
Cd: 0.750 0.750 0.998
Sn: 0.250 0.750 0.500
Sn: 0.750 0.250 0.500
N: 0.250 0.250 0.501
N: 0.750 0.750 0.499
O: 0.250 0.750 0.000
O: 0.750 0.250 0.000

---

The following is a DFT calculation (PBE-GGA) of CdSnNO after structural relaxation.

Calculated values
As for the space group: Pca2_1, No. 29. The total energy comes out at -4.76 eV/atom. The calculation puts the relative energy among the computed polymorphs at 131 meV per atom.

a = 6.214 Å, b = 7.166 Å, c = 6.094 Å
α = 90.00°, β = 90.00°, γ = 90.00°
Fractional positions:
Cd: 0.106 0.113 0.000
Cd: 0.394 0.113 0.500
Cd: 0.606 0.887 0.000
Cd: 0.894 0.887 0.500
Sn: 0.081 0.629 0.024
Sn: 0.419 0.629 0.524
Sn: 0.581 0.371 0.024
Sn: 0.919 0.371 0.524
N: 0.062 0.137 0.638
N: 0.438 0.137 0.138
N: 0.562 0.863 0.638
N: 0.938 0.863 0.138
O: 0.095 0.611 0.660
O: 0.405 0.611 0.160
O: 0.595 0.389 0.660
O: 0.905 0.389 0.160

---

The following is a DFT calculation (PBE-GGA) of TbCdNO after structural relaxation.

Calculated values
As for the space group: P4/nmm, No. 129. The total energy comes out at -6.13 eV/atom. The calculation puts the relative energy among the computed polymorphs at 0 meV per atom.

a = 4.913 Å, b = 4.913 Å, c = 4.642 Å
α = 90.00°, β = 90.00°, γ = 90.00°
Fractional positions:
Tb: 0.250 0.750 0.000
Tb: 0.750 0.250 0.000
Cd: 0.250 0.250 0.498
Cd: 0.750 0.750 0.502
N: 0.250 0.250 0.998
N: 0.750 0.750 0.002
O: 0.250 0.750 0.500
O: 0.750 0.250 0.500

---

Please write out number 3 again, unchanged.
The following is a DFT calculation (PBE-GGA) of CdSnNO after structural relaxation.

Calculated values
As for the space group: Pca2_1, No. 29. The total energy comes out at -4.87 eV/atom. The calculation puts the relative energy among the computed polymorphs at 23 meV per atom.

a = 6.252 Å, b = 7.275 Å, c = 5.815 Å
α = 90.00°, β = 90.00°, γ = 90.00°
Fractional positions:
Cd: 0.070 0.126 0.000
Cd: 0.430 0.126 0.500
Cd: 0.570 0.874 0.000
Cd: 0.930 0.874 0.500
Sn: 0.091 0.628 0.996
Sn: 0.409 0.628 0.496
Sn: 0.591 0.372 0.996
Sn: 0.909 0.372 0.496
N: 0.087 0.603 0.626
N: 0.413 0.603 0.126
N: 0.587 0.397 0.626
N: 0.913 0.397 0.126
O: 0.081 0.144 0.605
O: 0.419 0.144 0.105
O: 0.581 0.856 0.605
O: 0.919 0.856 0.105